[1]
Entry from Alexandria via LeMat-Bulk: an optimized crystal structure of CsAcHg4Bi2 (PBE-GGA).

The value obtained for the size of the total moment is 0.00 μB/cell. For the formation energy, the calculation gives -0.318 eV/atom.

a b c (Å): 4.595 4.595 14.300
angles (deg): 90.00 90.00 90.00
Space group P4/mmm (No. 123)
One atom of each set of equivalent atoms:
1 Cs 0.000 0.000 0.000
2 Ac 0.000 0.000 0.500
3 Hg 0.000 0.500 0.214
4 Bi 0.500 0.500 0.391

---

[2]
Entry from Alexandria via LeMat-Bulk: an optimized crystal structure of Pm4PbS2 (PBE-GGA).

Its uncorrected formation energy is -1.36 eV per atom. The value obtained for the size of the total moment is 2.14 μB/cell.

a b c (Å): 4.151 13.464 13.874
angles (deg): 90.00 90.00 90.00
Space group Cmcm (No. 63)
One atom of each set of equivalent atoms:
1 Pm 0.000 0.000 0.000
2 Pm 0.000 0.265 0.114
3 Pm 0.000 0.431 0.750
4 Pb 0.000 0.109 0.750
5 S 0.000 0.367 0.560

---

[3]
Entry from Alexandria via LeMat-Bulk: an optimized crystal structure of VCdBr2 (PBE-GGA).

Its uncorrected formation energy is -0.26 eV per atom. The value obtained for the size of the total moment is 12.00 μB/cell. For the polymorph energy (0 for the lowest one), the calculation gives 204 meV per atom.

a b c (Å): 8.889 8.889 5.916
angles (deg): 90.00 90.00 90.00
Space group I-42d (No. 122)
One atom of each set of equivalent atoms:
1 V 0.000 0.000 0.000
2 Cd 0.000 0.000 0.500
3 Br 0.121 0.750 0.125